[1]
# Ce2Al4SiAu3 PBE-GGA relaxed
data_Ce2Al4SiAu3
_chemical_formula_sum 'Ce2 Al4 Si1 Au3'
_symmetry_space_group_name_H-M 'P -4 m 2'
_symmetry_Int_Tables_number 115
_cell_length_a 4.406
_cell_length_b 4.406
_cell_length_c 10.367
_cell_angle_alpha 90.00
_cell_angle_beta 90.00
_cell_angle_gamma 90.00
loop_
_symmetry_equiv_pos_as_xyz
'x,y,z'
'y,-x,-z'
'-x,-y,z'
'-y,x,-z'
'-x,y,z'
'-y,-x,-z'
'x,-y,z'
'y,x,-z'
loop_
_atom_site_label
_atom_site_fract_x
_atom_site_fract_y
_atom_site_fract_z
Ce1 0.000 0.500 0.242
Al1 0.000 0.000 0.500
Al2 0.000 0.500 0.870
Al3 0.500 0.500 0.500
Si1 0.500 0.500 0.000
Au1 0.000 0.000 0.000
Au2 0.000 0.500 0.631
# Total magnetization in Bohr magnetons per cell: 1.50
# Formation energy without anion corrections in eV/atom: -0.62

[2]
# Ce2Al4Si3Au PBE-GGA relaxed
data_Ce2Al4Si3Au
_chemical_formula_sum 'Ce2 Al4 Si3 Au1'
_symmetry_space_group_name_H-M 'P -4 m 2'
_symmetry_Int_Tables_number 115
_cell_length_a 4.126
_cell_length_b 4.126
_cell_length_c 11.133
_cell_angle_alpha 90.00
_cell_angle_beta 90.00
_cell_angle_gamma 90.00
loop_
_symmetry_equiv_pos_as_xyz
'x,y,z'
'y,-x,-z'
'-x,-y,z'
'-y,x,-z'
'-x,y,z'
'-y,-x,-z'
'x,-y,z'
'y,x,-z'
loop_
_atom_site_label
_atom_site_fract_x
_atom_site_fract_y
_atom_site_fract_z
Ce1 0.000 0.500 0.245
Al1 0.000 0.000 0.000
Al2 0.000 0.500 0.636
Al3 0.500 0.500 0.000
Si1 0.000 0.500 0.856
Si2 0.500 0.500 0.500
Au1 0.000 0.000 0.500
# Total magnetization in Bohr magnetons per cell: 1.13
# Formation energy without anion corrections in eV/atom: -0.39

[3]
# Ce3AlSi2Au6 PBE-GGA relaxed
data_Ce3AlSi2Au6
_chemical_formula_sum 'Ce3 Al1 Si2 Au6'
_symmetry_space_group_name_H-M 'P -3 m 1'
_symmetry_Int_Tables_number 164
_symmetry_space_group_name_Hall '-P 3 2"'
_cell_length_a 6.3461
_cell_length_b 6.3461
_cell_length_c 7.9671
_cell_angle_alpha 90.00
_cell_angle_beta 90.00
_cell_angle_gamma 120.00
loop_
_atom_site_label
_atom_site_fract_x
_atom_site_fract_y
_atom_site_fract_z
Ce1 0.0000 0.0000 0.0000
Ce2 0.3333 0.6667 0.6615
Al1 0.0000 0.0000 0.5000
Si1 0.3333 0.6667 0.0508
Au1 0.1791 0.3581 0.2888
# Total magnetization in Bohr magnetons per cell: 3.17
# Formation energy without anion corrections in eV/atom: -0.37

[4]
# CeAl2SnAu4 PBE-GGA relaxed
data_CeAl2SnAu4
_chemical_formula_sum 'Ce3 Al6 Sn3 Au12'
_symmetry_space_group_name_H-M 'R -3 m'
_symmetry_Int_Tables_number 166
_symmetry_space_group_name_Hall '-R 3 2"'
_cell_length_a 4.4237
_cell_length_b 4.4237
_cell_length_c 29.8207
_cell_angle_alpha 90.00
_cell_angle_beta 90.00
_cell_angle_gamma 120.00
loop_
_atom_site_label
_atom_site_fract_x
_atom_site_fract_y
_atom_site_fract_z
Ce1 0.0000 0.0000 0.0000
Al1 0.0000 0.0000 0.2534
Sn1 0.0000 0.0000 0.5000
Au1 0.0000 0.0000 0.1162
Au2 0.0000 0.0000 0.3931
# E_form in eV/atom: -0.4516
# Total magnetization in Bohr magnetons per cell: 2.38

Please write out number 2 again, unchanged.
# Ce2Al4Si3Au PBE-GGA relaxed
data_Ce2Al4Si3Au
_chemical_formula_sum 'Ce2 Al4 Si3 Au1'
_symmetry_space_group_name_H-M 'P -4 m 2'
_symmetry_Int_Tables_number 115
_cell_length_a 4.126
_cell_length_b 4.126
_cell_length_c 11.133
_cell_angle_alpha 90.00
_cell_angle_beta 90.00
_cell_angle_gamma 90.00
loop_
_symmetry_equiv_pos_as_xyz
'x,y,z'
'y,-x,-z'
'-x,-y,z'
'-y,x,-z'
'-x,y,z'
'-y,-x,-z'
'x,-y,z'
'y,x,-z'
loop_
_atom_site_label
_atom_site_fract_x
_atom_site_fract_y
_atom_site_fract_z
Ce1 0.000 0.500 0.245
Al1 0.000 0.000 0.000
Al2 0.000 0.500 0.636
Al3 0.500 0.500 0.000
Si1 0.000 0.500 0.856
Si2 0.500 0.500 0.500
Au1 0.000 0.000 0.500
# Total magnetization in Bohr magnetons per cell: 1.13
# Formation energy without anion corrections in eV/atom: -0.39

Question: Look up the total magnetization of the first one.
Answer: 1.50 Bohr magnetons per cell

Question: The lowest total magnetization belongs to which entry?
Answer: Ce2Al4Si3Au